# LaCr2Se, optimized geometry, DFT PBE
data_LaCr2Se
_space_group_name_H-M_alt 'F -4 3 m'
_space_group_IT_number 216
_space_group_name_Hall 'F -4 2 3'
_cell_length_a 7.0708
_cell_length_b 7.0708
_cell_length_c 7.0708
_cell_angle_alpha 90.00
_cell_angle_beta 90.00
_cell_angle_gamma 90.00
loop_
_atom_site_label
_atom_site_fract_x
_atom_site_fract_y
_atom_site_fract_z
_atom_site_occupancy
La1 0.0000 0.0000 0.0000 1
Cr1 0.0000 0.0000 0.5000 1
Cr2 0.2500 0.2500 0.2500 1
Se1 0.2500 0.2500 0.7500 1
# * M_tot: 0.1 μB per formula unit
# * energy: -6.794 eV/atom
# * formation energy without anion corrections: 0.5 eV per formula unit
# * ρ: 6.05 g/cm3
# * crystal system: cubic

***

# AcPuFe4, optimized geometry, DFT PBE
data_AcPuFe4
_space_group_name_H-M_alt 'F -4 3 m'
_space_group_IT_number 216
_space_group_name_Hall 'F -4 2 3'
_cell_length_a 7.4352
_cell_length_b 7.4352
_cell_length_c 7.4352
_cell_angle_alpha 90.00
_cell_angle_beta 90.00
_cell_angle_gamma 90.00
loop_
_atom_site_label
_atom_site_fract_x
_atom_site_fract_y
_atom_site_fract_z
_atom_site_occupancy
Ac1 0.0000 0.0000 0.0000 1
Pu1 0.2500 0.2500 0.7500 1
Fe1 0.1228 0.1228 0.3772 1
# * M_tot: 13.0 μB per formula unit
# * energy: -8.404 eV/atom
# * ρ: 11.22 g/cm3
# * DFT formation energy: 0.311 eV per atom
# * crystal system: cubic

***

# Ac3Th3NbN8, optimized geometry, DFT PBE
data_Ac3Th3NbN8
_space_group_name_H-M_alt 'R -3 m'
_space_group_IT_number 166
_space_group_name_Hall '-R 3 2"'
_cell_length_a 7.2205
_cell_length_b 7.2205
_cell_length_c 18.4813
_cell_angle_alpha 90.00
_cell_angle_beta 90.00
_cell_angle_gamma 120.00
loop_
_atom_site_label
_atom_site_fract_x
_atom_site_fract_y
_atom_site_fract_z
_atom_site_occupancy
Ac1 0.0000 0.5000 0.0000 1
Th1 0.0000 0.5000 0.5000 1
Nb1 0.0000 0.0000 0.5000 1
N1 0.0000 0.0000 0.2391 1
N2 0.0372 0.5186 0.2314 1
# * M_tot: 0.0 μB per formula unit
# * energy: -8.656 eV/atom
# * formation energy without anion corrections: -18.6 eV per formula unit
# * ρ: 9.44 g/cm3
# * crystal system: trigonal

***

# TaTeBr, optimized geometry, DFT PBE
data_TaTeBr
_space_group_name_H-M_alt 'F -4 3 m'
_space_group_IT_number 216
_space_group_name_Hall 'F -4 2 3'
_cell_length_a 6.9585
_cell_length_b 6.9585
_cell_length_c 6.9585
_cell_angle_alpha 90.00
_cell_angle_beta 90.00
_cell_angle_gamma 90.00
loop_
_atom_site_label
_atom_site_fract_x
_atom_site_fract_y
_atom_site_fract_z
_atom_site_occupancy
Ta1 0.0000 0.0000 0.0000 1
Te1 0.2500 0.2500 0.7500 1
Br1 0.0000 0.0000 0.5000 1
# * M_tot: 2.0 μB per formula unit
# * energy: -4.565 eV/atom
# * formation energy without anion corrections: 3.0 eV per formula unit
# * excess energy over the best structure of this formula in the dataset: 1329.2 meV/atom
# * ρ: 7.66 g/cm3
# * crystal system: cubic

***

Number 1 is which compound? LaCr2Se